First-principles (SCAN) data for CeSi3N5 at its PBEsol-relaxed geometry, as listed in Alexandria.

```
CeSi3N5
1.0
4.7784 0.0000 0.0000
0.0000 7.8322 0.0000
0.0000 0.0000 11.1829
Ce Si N
4 12 20
Cartesian
0.0201 0.4852 1.9005
2.3691 7.3470 7.4920
2.4093 3.4309 9.2824
4.7582 4.4013 3.6910
0.0789 2.2899 6.5226
0.0857 1.2559 9.3711
0.1228 3.6602 0.4608
2.2664 4.1720 6.0522
2.3035 6.5764 3.7796
2.3103 5.5423 0.9311
2.4680 1.6262 4.6604
2.4749 2.6603 1.8119
2.5120 0.2559 10.7221
4.6556 7.5763 5.1307
4.6927 5.1720 7.4033
4.6995 6.2060 10.2518
0.2211 2.6723 10.2871
0.8232 3.0650 1.9057
0.8437 1.6083 7.8750
0.8957 7.6729 10.1256
0.9968 5.0751 11.0366
1.3923 2.7571 5.4451
1.4935 0.1594 4.5341
1.5455 6.2239 2.2836
1.5660 4.7673 7.4972
2.1681 5.1600 4.6957
2.6103 1.2438 0.8958
3.2123 0.8512 9.2772
3.2329 2.3078 3.3079
3.2849 4.0755 1.0573
3.3860 6.6732 0.1464
3.7815 1.1590 5.7378
3.8826 3.7567 6.6488
3.9347 5.5245 8.8994
3.9552 6.9811 3.6858
4.5573 6.5884 6.4872
```

Properties
density: 4.67 g/cm³
SG: P2_12_12_1, No. 19
raw formation energy: -13.377 eV per formula unit

---

First-principles (SCAN) data for YTl2Se at its PBEsol-relaxed geometry, as listed in Alexandria.

```
YTl2Se
1.0
-2.3028 2.3028 4.5932
2.3028 -2.3028 4.5932
2.3028 2.3028 -4.5932
Y Tl Se
1 2 1
Cartesian
0.0000 0.0000 0.0000
2.3028 0.0000 2.2966
0.0000 0.0000 4.5932
0.0000 2.3028 2.2966
```

Properties
density: 9.83 g/cm³
D(E_F): 0.486 states/eV per atom
SG: I-4m2, No. 119
raw formation energy: -2.371 eV per formula unit
ΔE to the lowest computed polymorph: 89 meV/atom

---

First-principles (SCAN) data for TeMo2W at its PBEsol-relaxed geometry, as listed in Alexandria.

```
TeMo2W
1.0
3.1716 0.0000 0.0000
0.0000 3.1716 0.0000
0.0000 0.0000 6.6755
Te Mo W
1 2 1
Cartesian
0.0000 0.0000 0.0000
0.0000 0.0000 3.3642
1.5858 1.5858 4.8722
1.5858 1.5858 1.8018
```

Properties
density: 12.45 g/cm³
D(E_F): 0.898 states/eV per atom
SG: P4mm, No. 99
raw formation energy: 1.802 eV per formula unit

---

First-principles (SCAN) data for K2LaCr at its PBEsol-relaxed geometry, as listed in Alexandria.

```
K2LaCr
1.0
3.6143 0.0000 0.0000
0.0000 6.7559 0.0000
-0.3481 0.0000 5.9564
K La Cr
2 1 1
Cartesian
0.7439 0.0000 1.5910
2.5223 0.0000 4.3655
1.8071 3.3779 0.0000
-0.1740 3.3779 2.9782
```

Properties
density: 3.07 g/cm³
energy of formation: 0.640 eV/atom
D(E_F): 0.872 states/eV per atom
SG: P2/m, No. 10
ΔE to the lowest computed polymorph: 0 meV/atom

---

First-principles (SCAN) data for Y2O3 at its PBEsol-relaxed geometry, as listed in Alexandria.

```
Y2O3
1.0
6.9151 -1.7346 0.0000
6.9151 1.7346 0.0000
-1.5076 0.0000 8.4221
Y O
6 9
Cartesian
-0.0154 0.0000 2.6356
3.7346 0.0000 3.0570
5.0256 0.0000 0.1080
7.2972 0.0000 8.3141
8.5882 0.0000 5.3651
12.3382 0.0000 5.7865
0.5900 0.0000 6.5911
1.7079 0.0000 3.9598
2.6666 0.0000 1.0418
5.2487 0.0000 7.1042
6.1614 0.0000 4.2111
7.0740 0.0000 1.3179
9.6562 0.0000 7.3803
10.6149 0.0000 4.4623
11.7328 0.0000 1.8310
```

Properties
density: 5.57 g/cm³
D(E_F): 0.000 states/eV per atom
SG: C2/m, No. 12
raw formation energy: -19.531 eV per formula unit

---

First-principles (SCAN) data for KCoAu at its PBEsol-relaxed geometry, as listed in Alexandria.

```
KCoAu
1.0
-1.7237 1.7237 5.7674
1.7237 -1.7237 5.7674
1.7237 1.7237 -5.7674
K Co Au
1 1 1
Cartesian
0.0000 0.0000 0.0000
0.0000 0.0000 3.0724
0.0000 0.0000 8.3263
```

Properties
density: 7.15 g/cm³
energy of formation: 0.286 eV/atom
D(E_F): 0.683 states/eV per atom
SG: I4mm, No. 107

---

First-principles (SCAN) data for MgTaGe2Bi at its PBEsol-relaxed geometry, as listed in Alexandria.

```
MgTaGe2Bi
1.0
4.7650 0.0000 0.0000
0.0000 4.7650 0.0000
0.0000 0.0000 5.3629
Mg Ta Ge Bi
1 1 2 1
Cartesian
0.0000 0.0000 0.0000
2.3825 2.3825 2.6815
0.0000 2.3825 0.0000
2.3825 0.0000 0.0000
0.0000 0.0000 2.6815
```

Properties
density: 7.63 g/cm³
energy of formation: 1.405 eV/atom
D(E_F): 1.089 states/eV per atom
SG: P4/mmm, No. 123

---

First-principles (SCAN) data for Mg2IrAu at its PBEsol-relaxed geometry, as listed in Alexandria.

```
Mg2IrAu
1.0
2.9714 -3.3674 0.0000
2.9714 3.3674 0.0000
0.0000 0.0000 3.1460
Mg Ir Au
2 1 1
Cartesian
1.4857 1.6837 0.0000
1.4857 -1.6837 0.0000
0.0000 0.0000 1.5730
2.9714 0.0000 1.5730
```

Properties
density: 11.55 g/cm³
energy of formation: -0.604 eV/atom
D(E_F): 0.216 states/eV per atom
SG: Cmmm, No. 65

---

First-principles (SCAN) data for MgCdP2 at its PBEsol-relaxed geometry, as listed in Alexandria.

```
MgCdP2
1.0
4.0406 0.0000 0.0000
0.0000 3.6277 0.0000
-1.4810 0.0000 5.3901
Mg Cd P
1 1 2
Cartesian
0.0000 0.0000 0.0000
1.2798 0.0000 2.6951
0.1292 1.8138 4.3687
2.4303 1.8138 1.0214
```

Properties
density: 4.18 g/cm³
energy of formation: -0.069 eV/atom
D(E_F): 0.257 states/eV per atom
SG: P2/m, No. 10
ΔE to the lowest computed polymorph: 0 meV/atom

---

First-principles (SCAN) data for BaTlAg2 at its PBEsol-relaxed geometry, as listed in Alexandria.

```
BaTlAg2
1.0
3.6542 0.0000 0.0000
0.0000 3.6542 0.0000
0.0000 0.0000 7.6094
Ba Tl Ag
1 1 2
Cartesian
0.0000 0.0000 0.0000
1.8271 1.8271 2.5113
0.0000 0.0000 4.1119
1.8271 1.8271 5.3796
```

Properties
density: 9.11 g/cm³
energy of formation: -0.107 eV/atom
D(E_F): 0.549 states/eV per atom
SG: P4mm, No. 99
ΔE to the lowest computed polymorph: 131 meV/atom

---

First-principles (SCAN) data for TiPS2I at its PBEsol-relaxed geometry, as listed in Alexandria.

```
TiPS2I
1.0
4.9782 0.0000 0.0000
0.0000 4.9782 0.0000
0.0000 0.0000 4.9590
Ti P S I
1 1 2 1
Cartesian
0.0000 0.0000 0.0000
2.4891 2.4891 0.0000
0.0000 2.4891 2.4795
2.4891 0.0000 2.4795
2.4891 2.4891 2.4795
```

Properties
density: 3.65 g/cm³
D(E_F): 0.628 states/eV per atom
SG: P4/mmm, No. 123
raw formation energy: 5.233 eV per formula unit
ΔE to the lowest computed polymorph: 1151 meV/atom

---

First-principles (SCAN) data for NiPt2Rh at its PBEsol-relaxed geometry, as listed in Alexandria.

```
NiPt2Rh
1.0
2.6889 0.0000 0.0000
0.0000 4.4079 0.0000
0.0000 0.0000 4.6173
Ni Pt Rh
1 2 1
Cartesian
0.0000 0.0000 0.0000
1.3445 0.0000 2.2763
1.3445 2.2039 3.8832
0.0000 2.2039 1.5429
```

Properties
density: 16.74 g/cm³
energy of formation: -0.038 eV/atom
D(E_F): 1.110 states/eV per atom
SG: Pmm2, No. 25